Here is crystalline Tm8Te3AsS3 at its relaxed geometry from Alexandria. Energies are from PBE.

Space-group type   R-3m
Energy relative to the elements, uncorrected   -1431.8 meV per atom

```
Tm8Te3AsS3
1.0
7.987 0.000 0.000
-3.994 6.917 -0.025
0.000 -4.587 6.824
Tm Te As S
8 3 1 3
Direct
0.267 0.534 0.300 Tm
0.733 0.466 0.700 Tm
0.755 0.509 0.284 Tm
0.245 0.491 0.716 Tm
0.755 0.029 0.284 Tm
0.245 0.971 0.716 Tm
0.274 0.029 0.284 Tm
0.726 0.971 0.716 Tm
0.000 0.000 0.000 Te
0.000 0.500 0.000 Te
0.500 0.500 0.000 Te
0.000 0.000 0.500 As
0.500 0.000 0.500 S
0.500 0.500 0.500 S
0.000 0.500 0.500 S
```



Here is crystalline Tm8Te4As3S at its relaxed geometry from Alexandria. Energies are from PBE.

Space-group type   R-3m
Energy relative to the elements, uncorrected   -1460.3 meV per atom

```
Tm8Te4As3S
1.0
8.218 0.000 0.000
0.000 8.429 0.143
-4.109 -4.105 5.814
Tm Te As S
8 4 3 1
Direct
0.235 0.711 0.976 Tm
0.235 0.711 0.470 Tm
0.261 0.284 0.523 Tm
0.742 0.711 0.976 Tm
0.258 0.289 0.024 Tm
0.739 0.716 0.477 Tm
0.765 0.289 0.530 Tm
0.765 0.289 0.024 Tm
0.500 0.000 0.000 Te
0.500 0.000 0.500 Te
0.000 0.000 0.000 Te
0.000 0.000 0.500 Te
0.500 0.500 0.000 As
0.500 0.500 0.500 As
0.000 0.500 0.500 As
0.000 0.500 0.000 S
```



Here is crystalline VTeAs2S at its relaxed geometry from Alexandria. Energies are from PBE.

Space-group type   P4/mmm
Energy relative to the elements, uncorrected   1444.3 meV per atom

```
VTeAs2S
1.0
5.308 0.000 0.000
0.000 4.983 0.000
0.000 0.000 5.308
As Te S V
2 1 1 1
Direct
0.000 0.000 0.500 As
0.500 0.000 0.000 As
0.000 0.000 0.000 Te
0.500 0.500 0.500 S
0.000 0.500 0.000 V
```



Here is crystalline TeAsWS2 at its relaxed geometry from Alexandria. Energies are from PBE.

Space-group type   P4/mmm
Energy relative to the elements, uncorrected   1290.0 meV per atom

```
TeAsWS2
1.0
-1.533 -3.904 -1.960
3.014 -2.925 3.467
-3.538 -0.109 2.983
As Te S W
1 1 2 1
Direct
0.000 0.000 0.000 As
0.000 0.500 0.000 Te
0.000 0.000 0.500 S
0.500 0.000 0.000 S
0.500 0.500 0.500 W
```



Here is crystalline TeAs2WS at its relaxed geometry from Alexandria. Energies are from PBE.

Space-group type   P4/mmm
Energy relative to the elements, uncorrected   2005.8 meV per atom

```
TeAs2WS
1.0
5.261 0.000 0.000
0.000 5.034 0.000
0.000 0.000 5.261
As Te S W
2 1 1 1
Direct
0.000 0.000 0.500 As
0.500 0.000 0.000 As
0.000 0.000 0.000 Te
0.500 0.500 0.500 S
0.000 0.500 0.000 W
```



Here is crystalline Y6Te3As2S at its relaxed geometry from Alexandria. Energies are from PBE.

Space-group type   C2/m
Energy relative to the elements, uncorrected   -1567.5 meV per atom

```
Y6Te3As2S
1.0
-2.654 0.503 3.174
5.211 -4.469 5.067
4.030 8.584 -0.728
Y Te As S
6 3 2 1
Direct
0.345 0.903 0.690 Y
0.673 0.564 0.347 Y
0.655 0.097 0.310 Y
0.006 0.222 0.013 Y
0.994 0.778 0.987 Y
0.327 0.436 0.653 Y
0.500 0.500 0.000 Te
0.832 0.166 0.664 Te
0.168 0.834 0.336 Te
0.834 0.669 0.668 As
0.166 0.331 0.332 As
0.500 0.000 0.000 S
```



Here is crystalline Y8Te4AsS3 at its relaxed geometry from Alexandria. Energies are from PBE.

Space-group type   R-3m
Energy relative to the elements, uncorrected   -1634.5 meV per atom

```
Y8Te4AsS3
1.0
-0.471 4.984 6.544
4.928 -5.297 4.389
2.685 2.923 -7.220
Y Te As S
8 4 1 3
Direct
0.238 0.707 0.969 Y
0.238 0.707 0.476 Y
0.266 0.297 0.531 Y
0.731 0.707 0.969 Y
0.269 0.293 0.031 Y
0.734 0.703 0.469 Y
0.762 0.293 0.524 Y
0.762 0.293 0.031 Y
0.500 0.000 0.000 Te
0.500 0.000 0.500 Te
0.000 0.000 0.000 Te
0.000 0.000 0.500 Te
0.000 0.500 0.000 As
0.500 0.500 0.000 S
0.500 0.500 0.500 S
0.000 0.500 0.500 S
```



Here is crystalline Y6Te3AsS2 at its relaxed geometry from Alexandria. Energies are from PBE.

Space-group type   C2/m
Energy relative to the elements, uncorrected   -1621.2 meV per atom

```
Y6Te3AsS2
1.0
-0.658 6.824 -1.998
-5.625 -3.492 2.676
3.894 0.956 6.249
Y Te As S
6 3 1 2
Direct
0.930 0.592 0.792 Y
0.730 0.730 0.206 Y
0.070 0.408 0.208 Y
0.592 0.930 0.792 Y
0.270 0.270 0.794 Y
0.408 0.070 0.208 Y
0.165 0.835 0.500 Te
0.835 0.165 0.500 Te
0.500 0.500 0.500 Te
0.000 0.000 0.000 As
0.333 0.667 0.000 S
0.667 0.333 0.000 S
```



| no. | energy (eV/atom) | volume (Å³/cell) | total magnetic moment (μB per formula unit) |
| --- | --- | --- | --- |
| 1 | -5.580 | 376 | 0.00 |
| 2 | -5.611 | 408 | 0.00 |
| 3 | -3.693 | 140 | 0.11 |
| 4 | -4.510 | 117 | 3.11 |
| 5 | -3.898 | 139 | 0.12 |
| 6 | -6.704 | 318 | 0.00 |
| 7 | -6.716 | 411 | 0.00 |
| 8 | -6.714 | 311 | 0.00 |